1.
# YMg2Cd2Ag2

A geometry-optimized YMg2Cd2Ag2 structure (PBE, Alexandria via LeMat-Bulk).

The value obtained for the volume is 21.775 Å³/atom. For the uncorrected energy, the calculation gives -0.195 Ry/atom. The energy of formation from the pure elements comes out at -0.195 eV per atom. The total magnetic moment comes out at 0.000 μB/f.u.

The structure belongs to space group R-3m (No. 166, hexagonal axes); the cell edges are 4.8815, 4.8815 and 22.1586 Å and the angles 90.00°, 90.00° and 120.00°. The distinct sites, in fractional coordinates, are Y at (0.0000, 0.0000, 0.0000), Mg at (0.0000, 0.0000, 0.1407), Cd at (0.0000, 0.0000, 0.4146) and Ag at (0.0000, 0.0000, 0.2658).



2.
# MgZnCdAg

A geometry-optimized MgZnCdAg structure (PBE, Alexandria via LeMat-Bulk).

The value obtained for the volume is 18.440 Å³/atom. Its offset from the most stable computed form is 0.000 eV per formula unit. For the uncorrected energy, the calculation gives -0.127 Ry/atom. The energy of formation from the pure elements comes out at -0.064 eV per atom. The total magnetic moment comes out at 0.000 μB/f.u.

The structure belongs to space group F-43m (No. 216); the cell edges are 6.6572, 6.6572 and 6.6572 Å and the angles 90.00°, 90.00° and 90.00°. The distinct sites, in fractional coordinates, are Mg at (0.0000, 0.0000, 0.0000), Zn at (0.2500, 0.2500, 0.7500), Cd at (0.0000, 0.0000, 0.5000) and Ag at (0.2500, 0.2500, 0.2500).



3.
# MgZnCd2Ag2

A geometry-optimized MgZnCd2Ag2 structure (PBE, Alexandria via LeMat-Bulk).

The value obtained for the volume is 18.847 Å³/atom. For the uncorrected energy, the calculation gives -0.132 Ry/atom. The energy of formation from the pure elements comes out at -0.060 eV per atom. The total magnetic moment comes out at 0.000 μB/f.u.

The structure belongs to space group Pmc2_1 (No. 26); the cell edges are 4.2256, 8.8023 and 6.0806 Å and the angles 90.00°, 90.00° and 90.00°. The distinct sites, in fractional coordinates, are Mg at (0.0000, 0.0087, 0.0000), Zn at (0.5000, 0.1648, 0.7551), Cd at (0.0000, 0.3210, 0.4960), Cd at (0.5000, 0.4973, 0.2419), Ag at (0.0000, 0.3277, 0.9879) and Ag at (0.5000, 0.1522, 0.2489).



4.
# MgZn2Cd2Ag5

A geometry-optimized MgZn2Cd2Ag5 structure (PBE, Alexandria via LeMat-Bulk).

The value obtained for the volume is 18.710 Å³/atom. For the uncorrected energy, the calculation gives -0.151 Ry/atom. The energy of formation from the pure elements comes out at -0.036 eV per atom. The total magnetic moment comes out at 0.000 μB/f.u.

The structure belongs to space group P4/mbm (No. 127); the cell edges are 9.4032, 9.4032 and 4.2321 Å and the angles 90.00°, 90.00° and 90.00°. The distinct sites, in fractional coordinates, are Mg at (0.0000, 0.0000, 0.0000), Zn at (0.1221, 0.3779, 0.0000), Cd at (0.1735, 0.6735, 0.0000), Ag at (0.0000, 0.5000, 0.5000) and Ag at (0.0810, 0.1981, 0.5000).



5.
# Mg4Zn2CdAg2

A geometry-optimized Mg4Zn2CdAg2 structure (PBE, Alexandria via LeMat-Bulk).

The value obtained for the volume is 19.209 Å³/atom. For the uncorrected energy, the calculation gives -0.134 Ry/atom. The energy of formation from the pure elements comes out at -0.090 eV per atom. The total magnetic moment comes out at 0.000 μB/f.u.

The structure belongs to space group P-1 (No. 2); the cell edges are 5.1107, 5.2861 and 7.0251 Å and the angles 70.99°, 74.60° and 83.18°. The distinct sites, in fractional coordinates, are Mg at (0.0822, 0.1899, 0.2721), Mg at (0.2043, 0.2456, 0.8191), Zn at (0.3340, 0.6915, 0.9576), Cd at (0.5000, 0.0000, 0.5000) and Ag at (0.2614, 0.6065, 0.3878).



6.
# MgZnCdAg3

A geometry-optimized MgZnCdAg3 structure (PBE, Alexandria via LeMat-Bulk).

The value obtained for the volume is 18.068 Å³/atom. For the uncorrected energy, the calculation gives -0.158 Ry/atom. The energy of formation from the pure elements comes out at -0.097 eV per atom. The total magnetic moment comes out at 0.000 μB/f.u.

The structure belongs to space group P2_1/m (No. 11); the cell edges are 6.7493, 3.8934 and 8.7301 Å and the angles 90.00°, 109.07° and 90.00°. The distinct sites, in fractional coordinates, are Mg at (0.1380, 0.2500, 0.2818), Zn at (0.4957, 0.2500, 0.1150), Cd at (0.4985, 0.7500, 0.3687), Ag at (0.1646, 0.7500, 0.5382), Ag at (0.1764, 0.7500, 0.0459) and Ag at (0.1885, 0.2500, 0.8006).



7.
# MgZn2Cd2Ag4

A geometry-optimized MgZn2Cd2Ag4 structure (PBE, Alexandria via LeMat-Bulk).

The value obtained for the volume is 18.247 Å³/atom. For the uncorrected energy, the calculation gives -0.146 Ry/atom. The energy of formation from the pure elements comes out at -0.054 eV per atom. The total magnetic moment comes out at 0.000 μB/f.u.

The structure belongs to space group C2/m (No. 12); the cell edges are 14.2396, 2.9639 and 7.9272 Å and the angles 90.00°, 100.98° and 90.00°. The distinct sites, in fractional coordinates, are Mg at (0.0000, 0.0000, 0.0000), Zn at (0.1657, 0.5000, 0.9238), Cd at (0.1529, 0.0000, 0.5873), Ag at (0.0129, 0.5000, 0.3178) and Ag at (0.1776, 0.0000, 0.2267).



8.
# Mg2ZnCd2Ag5

A geometry-optimized Mg2ZnCd2Ag5 structure (PBE, Alexandria via LeMat-Bulk).

The value obtained for the volume is 19.559 Å³/atom. For the uncorrected energy, the calculation gives -0.150 Ry/atom. The energy of formation from the pure elements comes out at 0.010 eV per atom. The total magnetic moment comes out at 0.000 μB/f.u.

The structure belongs to space group P4/mbm (No. 127); the cell edges are 9.9940, 9.9940 and 3.9165 Å and the angles 90.00°, 90.00° and 90.00°. The distinct sites, in fractional coordinates, are Mg at (0.1385, 0.3615, 0.0000), Zn at (0.0000, 0.0000, 0.0000), Cd at (0.1567, 0.6567, 0.0000), Ag at (0.0000, 0.5000, 0.5000) and Ag at (0.1228, 0.1606, 0.5000).



9.
# Mg3Zn2Cd2Ag4

A geometry-optimized Mg3Zn2Cd2Ag4 structure (PBE, Alexandria via LeMat-Bulk).

The value obtained for the volume is 18.948 Å³/atom. For the uncorrected energy, the calculation gives -0.146 Ry/atom. The energy of formation from the pure elements comes out at -0.117 eV per atom. The total magnetic moment comes out at 0.000 μB/f.u.

The structure belongs to space group P-3m1 (No. 164); the cell edges are 4.6343, 4.6343 and 11.2060 Å and the angles 90.00°, 90.00° and 120.00°. The distinct sites, in fractional coordinates, are Mg at (0.0000, 0.0000, 0.0000), Mg at (0.0000, 0.0000, 0.2770), Zn at (0.3333, 0.6667, 0.0814), Cd at (0.3333, 0.6667, 0.5697), Ag at (0.3333, 0.6667, 0.3171) and Ag at (0.3333, 0.6667, 0.8374).



10.
# Mg2ZnCdAg4

A geometry-optimized Mg2ZnCdAg4 structure (PBE, Alexandria via LeMat-Bulk).

The value obtained for the volume is 18.014 Å³/atom. For the uncorrected energy, the calculation gives -0.166 Ry/atom. The energy of formation from the pure elements comes out at -0.156 eV per atom. The total magnetic moment comes out at 0.000 μB/f.u.

The structure belongs to space group C2/m (No. 12); the cell edges are 8.1038, 4.6513 and 8.1304 Å and the angles 90.00°, 109.87° and 90.00°. The distinct sites, in fractional coordinates, are Mg at (0.2497, 0.0000, 0.2488), Zn at (0.0000, 0.0000, 0.5000), Cd at (0.0000, 0.5000, 0.0000), Ag at (0.1198, 0.0000, 0.8598) and Ag at (0.1280, 0.5000, 0.3839).



11.
# MgZnCdAg

A geometry-optimized MgZnCdAg structure (PBE, Alexandria via LeMat-Bulk).

The value obtained for the volume is 18.180 Å³/atom. Its offset from the most stable computed form is 0.029 eV per formula unit. For the uncorrected energy, the calculation gives -0.126 Ry/atom. The energy of formation from the pure elements comes out at -0.057 eV per atom. The total magnetic moment comes out at 0.000 μB/f.u.

The structure belongs to space group F-43m (No. 216); the cell edges are 6.6258, 6.6258 and 6.6258 Å and the angles 90.00°, 90.00° and 90.00°. The distinct sites, in fractional coordinates, are Mg at (0.0000, 0.0000, 0.0000), Zn at (0.0000, 0.0000, 0.5000), Cd at (0.2500, 0.2500, 0.2500) and Ag at (0.2500, 0.2500, 0.7500).



12.
# Mn2CdAg

A geometry-optimized Mn2CdAg structure (PBE, Alexandria via LeMat-Bulk).

The value obtained for the volume is 16.435 Å³/atom. For the uncorrected energy, the calculation gives -0.393 Ry/atom. The energy of formation from the pure elements comes out at 0.179 eV per atom. The total magnetic moment comes out at 0.038 μB/f.u.

The structure belongs to space group P4mm (No. 99); the cell edges are 3.1303, 3.1303 and 6.7092 Å and the angles 90.00°, 90.00° and 90.00°. The distinct sites, in fractional coordinates, are Mn at (0.0000, 0.0000, 0.0000), Mn at (0.5000, 0.5000, 0.1702), Cd at (0.5000, 0.5000, 0.7203) and Ag at (0.0000, 0.0000, 0.4288).



13.
# Mn2CdAg

A geometry-optimized Mn2CdAg structure (PBE, Alexandria via LeMat-Bulk).

The value obtained for the volume is 17.101 Å³/atom. For the uncorrected energy, the calculation gives -0.383 Ry/atom. The energy of formation from the pure elements comes out at 0.315 eV per atom. The total magnetic moment comes out at 7.561 μB/f.u.

The structure belongs to space group I4/mmm (No. 139); the cell edges are 4.1224, 4.1224 and 8.0500 Å and the angles 90.00°, 90.00° and 90.00°. The distinct sites, in fractional coordinates, are Mn at (0.0000, 0.5000, 0.2500), Cd at (0.0000, 0.0000, 0.0000) and Ag at (0.0000, 0.0000, 0.5000).